1.
SrBeAg2 PBE relaxed; DOS(E_F) = 1.675 states/eV/f.u.; E_form = 0.38 eV/atom
1.0
4.638 0.000 0.000
0.000 4.599 0.028
0.000 4.618 4.244
Sr Ag Be
1 2 1
Cartesian
0.000 2.309 2.122 Sr
0.000 0.000 0.000 Ag
2.319 2.299 0.014 Ag
2.319 4.608 2.136 Be

---

2.
Li2SiBPt6 PBE relaxed; DOS(E_F) = 4.347 states/eV/f.u.; E_form (uncorrected) = -0.4058 eV/atom
1.0
5.541 0.030 0.012
-0.038 6.953 1.049
2.739 4.173 4.957
Li Si B Pt
2 1 1 6
Cartesian
5.510 4.501 3.217 Li
2.732 6.656 2.800 Li
0.000 0.000 0.000 Si
2.751 3.492 0.531 B
2.745 3.578 2.617 Pt
6.909 9.197 5.566 Pt
4.054 9.180 5.558 Pt
4.188 1.977 0.460 Pt
1.333 1.960 0.452 Pt
5.497 7.579 3.400 Pt

---

3.
Pm2Zn3Au6 PBE relaxed; energy relative to the lowest polymorph listed for this composition = 39.7 meV per atom; DOS(E_F) = 5.237 states/eV/f.u.; E_form = -0.43 eV/atom
1.0
3.883 0.000 0.000
0.000 7.814 -0.247
0.000 0.612 7.794
Pm Zn Au
2 3 6
Cartesian
0.000 2.833 5.314 Pm
0.000 5.593 2.232 Pm
0.000 1.717 1.538 Zn
0.000 6.708 6.008 Zn
1.941 0.000 0.000 Zn
1.941 3.159 2.830 Au
1.941 5.266 4.717 Au
1.941 7.968 2.326 Au
1.941 0.458 5.221 Au
1.941 3.186 7.664 Au
1.941 5.239 -0.118 Au

---

4.
SbPd7Pb2 PBE relaxed; DOS(E_F) = 5.181 states/eV/f.u.; E_form (uncorrected) = -0.0025 eV/atom
1.0
3.167 0.000 0.000
0.000 9.187 -1.072
0.000 -5.101 7.715
Sb Pd Pb
1 7 2
Cartesian
0.000 0.000 0.000 Sb
0.000 6.403 0.639 Pd
0.000 -2.318 6.003 Pd
1.583 -0.477 2.088 Pd
1.583 4.562 4.554 Pd
1.583 2.079 0.516 Pd
1.583 2.006 6.127 Pd
1.583 2.043 3.321 Pd
1.583 4.500 1.810 Pb
1.583 -0.414 4.832 Pb

---

5.
RbNiOs3 PBE relaxed; energy relative to the lowest polymorph listed for this composition = 0.0 meV per atom; DOS(E_F) = 6.345 states/eV/f.u.; E_form = 2.26 eV/atom
1.0
4.652 0.000 0.000
0.000 4.652 0.000
0.000 0.000 4.652
Ni Os Rb
1 3 1
Cartesian
0.000 0.000 0.000 Ni
0.000 2.326 0.000 Os
0.000 0.000 2.326 Os
2.326 0.000 0.000 Os
2.326 2.326 2.326 Rb

---

6.
AlSiSb2 PBE relaxed; energy relative to the lowest polymorph listed for this composition = 241.8 meV per atom; DOS(E_F) = 2.569 states/eV/f.u.; E_form (uncorrected) = 0.4018 eV/atom
1.0
6.215 0.052 0.000
3.516 5.126 0.000
-4.865 -2.589 2.874
Sb Si Al
2 1 1
Cartesian
0.000 0.000 0.000 Sb
1.758 2.563 1.437 Sb
4.865 2.589 0.000 Si
3.108 0.026 1.437 Al

---

7.
TaSb2AuBr PBE relaxed; DOS(E_F) = 3.687 states/eV/f.u.; E_form (uncorrected) = 1.4528 eV/atom
1.0
-1.787 4.565 2.559
-3.247 0.588 -3.316
-3.557 -3.043 2.944
Sb Au Br Ta
2 1 1 1
Cartesian
-1.779 -1.522 1.472 Sb
-0.894 2.282 1.280 Sb
-4.296 1.055 1.093 Au
0.000 0.000 0.000 Br
-1.624 0.294 -1.658 Ta

---

8.
LuCoC PBE relaxed; energy relative to the lowest polymorph listed for this composition = 54.6 meV per atom; DOS(E_F) = 1.787 states/eV/f.u.; E_form = -0.31 eV/atom
1.0
-3.158 -1.339 0.403
1.018 -1.519 2.929
-1.000 2.917 1.861
C Lu Co
1 1 1
Cartesian
-1.070 -1.429 1.666 C
0.000 0.000 0.000 Lu
-1.570 0.029 2.596 Co

---

9.
Ho4Sb3Se PBE relaxed; DOS(E_F) = 2.682 states/eV/f.u.; E_form (uncorrected) = -1.2765 eV/atom
1.0
-1.387 -5.231 -2.789
4.941 -2.603 2.424
-5.042 2.211 5.006
Sb Ho Se
3 4 1
Cartesian
1.777 -3.917 -0.182 Sb
-2.326 -3.469 1.018 Sb
0.838 -2.154 3.624 Sb
-3.959 -4.321 3.430 Ho
-0.795 -3.007 6.036 Ho
-1.606 -0.839 2.372 Ho
0.117 -4.784 2.270 Ho
0.000 0.000 0.000 Se

---

10.
PrGa4CuNi2 PBE relaxed; DOS(E_F) = 3.789 states/eV/f.u.; E_form = -0.40 eV/atom
1.0
-3.276 -0.644 -2.451
-0.618 -3.729 -1.694
-6.099 -3.864 5.668
Pr Ga Cu Ni
1 4 1 2
Cartesian
0.000 0.000 0.000 Pr
-6.369 -4.806 2.776 Ga
-5.757 -5.307 -1.411 Ga
-4.237 -2.931 2.934 Ga
-3.625 -3.431 -1.253 Ga
-4.997 -4.119 0.762 Cu
-7.203 -6.031 0.713 Ni
-2.791 -2.206 0.811 Ni

---

11.
UNb2Ag2Se6 PBE relaxed; DOS(E_F) = 3.417 states/eV/f.u.; E_form (uncorrected) = -0.6186 eV/atom
1.0
6.169 0.047 0.015
-3.008 5.386 0.015
-1.172 -2.015 7.571
U Nb Ag Se
1 2 2 6
Cartesian
-0.586 -1.007 3.785 U
-0.458 2.554 3.800 Nb
2.447 0.864 3.800 Nb
4.554 0.987 0.015 Ag
-1.393 4.446 0.015 Ag
1.499 2.577 5.576 Se
-1.631 0.848 5.504 Se
0.489 0.841 2.024 Se
1.544 -0.999 5.504 Se
3.620 2.570 2.096 Se
0.445 4.417 2.096 Se

---

12.
MgGe2Br6 PBE relaxed; energy relative to the lowest polymorph listed for this composition = 56.7 meV per atom; DOS(E_F) = 0.000 states/eV/f.u.; E_form (uncorrected) = -0.8074 eV/atom
1.0
0.351 -5.893 -3.593
1.112 -4.276 8.255
-8.856 -1.461 2.664
Mg Ge Br
2 4 12
Cartesian
-8.075 -3.130 2.155 Mg
0.682 -8.500 5.171 Mg
-6.404 -5.785 6.139 Ge
-3.069 -2.361 1.916 Ge
-0.989 -5.846 1.188 Ge
-4.324 -9.269 5.410 Ge
-4.001 -6.670 5.438 Br
-2.231 -2.391 4.435 Br
-3.392 -4.961 1.889 Br
-5.162 -9.239 2.891 Br
-1.911 -9.745 4.746 Br
-0.282 -6.251 3.602 Br
-5.482 -1.885 2.580 Br
-7.111 -5.380 3.725 Br
-7.695 -5.180 9.186 Br
-1.423 -3.066 -0.933 Br
0.302 -6.451 -1.860 Br
-5.969 -8.564 8.259 Br

---

Which of these has the lowest DOS(E_F)? MgGe2Br6

---

Please write out number 3 again, unchanged.
Pm2Zn3Au6 PBE relaxed; energy relative to the lowest polymorph listed for this composition = 39.7 meV per atom; DOS(E_F) = 5.237 states/eV/f.u.; E_form = -0.43 eV/atom
1.0
3.883 0.000 0.000
0.000 7.814 -0.247
0.000 0.612 7.794
Pm Zn Au
2 3 6
Cartesian
0.000 2.833 5.314 Pm
0.000 5.593 2.232 Pm
0.000 1.717 1.538 Zn
0.000 6.708 6.008 Zn
1.941 0.000 0.000 Zn
1.941 3.159 2.830 Au
1.941 5.266 4.717 Au
1.941 7.968 2.326 Au
1.941 0.458 5.221 Au
1.941 3.186 7.664 Au
1.941 5.239 -0.118 Au

---

Among the records above, which one has the lowest DOS(E_F)? MgGe2Br6

---

Which of these has the highest DOS(E_F)? RbNiOs3